[1]
First-principles (PBE) data for an optimized crystal structure of Mn3PtSe, as listed in Alexandria via LeMat-Bulk.

Values from the calculation:
Polymorph energy (0 for the lowest one)   0.0000 eV per atom
Formation energy without anion corrections   0.58 eV/atom

Cell: 4.8756 4.8756 4.8756 Å, 90.00 90.00 90.00°
Sites, in units of the cell vectors:
Mn: 0.0000 0.0000 0.5000
Mn: 0.5000 0.0000 0.0000
Mn: 0.0000 0.5000 0.0000
Pt: 0.0000 0.0000 0.0000
Se: 0.5000 0.5000 0.5000


[2]
First-principles (PBE) data for an optimized crystal structure of Sc2HRh6, as listed in Alexandria via LeMat-Bulk.

Values from the calculation:
Total DFT energy (no corrections)   -7.272 eV per atom

Cell: 5.6068 5.6065 7.8696 Å, 90.00 90.00 90.00°
Sites, in units of the cell vectors:
Rh: 0.2476 0.7524 0.0000
Rh: 0.7476 0.7476 0.5000
Rh: 0.0000 0.0000 0.7531
Rh: 0.5000 0.5000 0.7469
Rh: 0.7524 0.2476 0.0000
Rh: 0.0000 0.0000 0.2469
Rh: 0.7523 0.7523 0.0000
Rh: 0.7477 0.2523 0.5000
Rh: 0.2524 0.2524 0.5000
Rh: 0.2523 0.7477 0.5000
Rh: 0.5000 0.5000 0.2531
Rh: 0.2477 0.2477 0.0000
Sc: 0.5000 0.0000 0.7501
Sc: 0.0000 0.5000 0.7499
Sc: 0.5000 0.0000 0.2499
Sc: 0.0000 0.5000 0.2501
H: 0.0000 0.0000 0.5000
H: 0.5000 0.5000 0.0000